Compound: CoTeC2
Source: Alexandria via LeMat-Bulk
Functional: GGA-PBEsol
Structure: relaxed

a b c (Å): 5.7358 5.7358 5.7358
angles (deg): 131.05 131.05 71.73
Last column: nearest neighbours and their distance in Å.
Atoms (fractional coordinates):
1 Co 0.0000 0.0000 0.0000  4 C 1.85
2 Co 0.7500 0.2500 0.5000  4 C 1.85
3 Te 0.2500 0.7500 0.5000  4 C 2.27
4 Te 0.5000 0.5000 0.0000  4 C 2.27
5 C 0.0482 0.6250 0.9232  2 Co 1.85
6 C 0.3750 0.2982 0.4232  2 Co 1.85
7 C 0.7018 0.1250 0.0768  2 Co 1.85
8 C 0.8750 0.9518 0.5768  2 Co 1.85

Calculated volume, A^3/atom: 13.1
DFT total energy, eV per atom: -6.436

Compound: InAs2CSe
Source: Alexandria via LeMat-Bulk
Functional: GGA-PBEsol
Structure: relaxed

a b c (Å): 4.9496 4.9496 5.2640
angles (deg): 90.00 90.00 90.00
Last column: nearest neighbours and their distance in Å.
Atoms (fractional coordinates):
1 In 0.0000 0.0000 0.0000  2 Se 2.63
2 As 0.0000 0.5000 0.5000  2 Se 2.47
3 As 0.5000 0.0000 0.5000  2 Se 2.47
4 C 0.5000 0.5000 0.0000  4 In 3.50, 8 As 3.61
5 Se 0.0000 0.0000 0.5000  4 As 2.47, 2 In 2.63

Calculated volume, A^3/atom: 25.8
DFT total energy, eV per atom: -3.319

Compound: Sr3PW
Source: Alexandria via LeMat-Bulk
Functional: GGA-PBEsol
Structure: relaxed

a b c (Å): 5.5079 5.5079 5.5079
angles (deg): 90.00 90.00 90.00
Last column: nearest neighbours and their distance in Å.
Atoms (fractional coordinates):
1 Sr 0.0000 0.0000 0.5000  2 W 2.75
2 Sr 0.0000 0.5000 0.0000  2 W 2.75
3 Sr 0.5000 0.0000 0.0000  2 W 2.75
4 P 0.5000 0.5000 0.5000  12 Sr 3.89
5 W 0.0000 0.0000 0.0000  6 Sr 2.75

Calculated formation energy, meV/atom: 1113
Calculated volume, A^3/atom: 33.4

Compound: NiRuN2F
Source: Alexandria via LeMat-Bulk
Functional: GGA-PBEsol
Structure: relaxed

a b c (Å): 3.7543 3.7543 4.0066
angles (deg): 90.00 90.00 90.00
Last column: nearest neighbours and their distance in Å.
Atoms (fractional coordinates):
1 Ni 0.0000 0.0000 0.0000  4 F 2.65, 8 N 2.75
2 Ru 0.5000 0.5000 0.5000  4 N 1.88, 2 F 2.00
3 N 0.0000 0.5000 0.5000  2 Ru 1.88
4 N 0.5000 0.0000 0.5000  2 Ru 1.88
5 F 0.5000 0.5000 0.0000  2 Ru 2.00

Calculated volume, A^3/atom: 11.3
DFT total energy, eV per atom: -6.423